A relaxed HfZn3N crystal, computed with PBE.

Space-group type = Pm-3m (221)
Crystal system = cubic
N(E_F) = 1.29 states/eV/atom
Energy relative to the elements, uncorrected = 2119 meV/atom
E above lowest polymorph = 1.586 eV/atom

Unit cell a=5.239 b=5.239 c=5.239 alpha=90.00 beta=90.00 gamma=90.00
Element x y z (fractional)
Hf1 0.000 0.000 0.000
Zn1 0.000 0.000 0.500
Zn2 0.000 0.500 0.000
Zn3 0.500 0.000 0.000
N1 0.500 0.500 0.500

***

A relaxed ThSb2P2Pt7 crystal, computed with PBE.

Space-group type = I4/mmm (139)
Crystal system = tetragonal
N(E_F) = 0.32 states/eV/atom
Energy relative to the elements, uncorrected = -666 meV/atom

Unit cell a=15.189 b=15.189 c=15.189 alpha=164.78 beta=164.78 gamma=21.59
Element x y z (fractional)
Th1 0.000 0.000 0.000
Sb1 0.212 0.212 0.000
Sb2 0.788 0.788 0.000
P1 0.379 0.379 0.000
P2 0.621 0.621 0.000
Pt1 0.077 0.577 0.500
Pt2 0.302 0.302 0.000
Pt3 0.423 0.923 0.500
Pt4 0.500 0.500 0.000
Pt5 0.577 0.077 0.500
Pt6 0.698 0.698 0.000
Pt7 0.923 0.423 0.500

***

A relaxed NdEr7Th2 crystal, computed with PBE.

Space-group type = C2/m (12)
Energy of formation = 440 meV/atom
Crystal system = monoclinic
N(E_F) = 1.73 states/eV/atom

Unit cell a=8.384 b=8.384 c=5.530 alpha=108.98 beta=108.98 gamma=85.13
Element x y z (fractional)
Nd1 0.000 0.000 0.000
Er1 0.101 0.404 0.253
Er2 0.335 0.665 0.000
Er3 0.404 0.101 0.253
Er4 0.500 0.500 0.500
Er5 0.596 0.899 0.747
Er6 0.665 0.335 0.000
Er7 0.899 0.596 0.747
Th1 0.156 0.844 0.500
Th2 0.844 0.156 0.500

***

A relaxed HoMgSnIr crystal, computed with PBE.

Space-group type = F-43m (216)
Energy of formation = -499 meV/atom
Crystal system = cubic

Unit cell a=4.793 b=4.793 c=4.793 alpha=60.00 beta=60.00 gamma=60.00
Element x y z (fractional)
Ho1 0.000 0.000 0.000
Mg1 0.750 0.750 0.750
Sn1 0.500 0.500 0.500
Ir1 0.250 0.250 0.250

***

A relaxed LaTa2P crystal, computed with PBE.

Space-group type = Cmmm (65)
Energy of formation = 597 meV/atom
Crystal system = orthorhombic
N(E_F) = 1.11 states/eV/atom

Unit cell a=5.550 b=5.550 c=2.899 alpha=90.00 beta=90.00 gamma=115.10
Element x y z (fractional)
La1 0.000 0.000 0.000
Ta1 0.000 0.500 0.500
Ta2 0.500 0.000 0.500
P1 0.500 0.500 0.000

***

A relaxed TbInAg crystal, computed with PBE.

Space-group type = I4mm (107)
Energy of formation = -267 meV/atom
Crystal system = tetragonal
N(E_F) = 0.68 states/eV/atom

Unit cell a=6.404 b=6.404 c=6.404 alpha=148.64 beta=148.64 gamma=44.94
Element x y z (fractional)
Tb1 0.000 0.000 0.000
In1 0.313 0.313 0.000
Ag1 0.667 0.667 0.000

***

A relaxed AlTe2W crystal, computed with PBE.

Space-group type = R-3m (166)
Crystal system = trigonal
N(E_F) = 1.15 states/eV/atom
Energy relative to the elements, uncorrected = 904 meV/atom

Unit cell a=8.962 b=8.962 c=8.962 alpha=23.27 beta=23.27 gamma=23.27
Element x y z (fractional)
Al1 0.000 0.000 0.000
Te1 0.400 0.400 0.400
Te2 0.600 0.600 0.600
W1 0.500 0.500 0.500

***

A relaxed TiPdIO2 crystal, computed with PBE.

Space-group type = P4/mmm (123)
Crystal system = tetragonal
N(E_F) = 0.49 states/eV/atom
Energy relative to the elements, uncorrected = -1301 meV/atom
E above lowest polymorph = 0.000 eV/atom

Unit cell a=3.810 b=3.810 c=6.251 alpha=90.00 beta=90.00 gamma=90.00
Element x y z (fractional)
Ti1 0.000 0.000 0.000
Pd1 0.500 0.500 0.500
I1 0.000 0.000 0.500
O1 0.000 0.500 0.000
O2 0.500 0.000 0.000

***

A relaxed HRuCN crystal, computed with PBE.

Space-group type = Cm (8)
Crystal system = monoclinic
N(E_F) = 0.20 states/eV/atom
E above lowest polymorph = 0.170 eV/atom

Unit cell a=3.282 b=3.282 c=4.205 alpha=107.07 beta=107.07 gamma=50.34
Element x y z (fractional)
H1 0.000 0.000 0.000
Ru1 0.800 0.800 0.380
C1 0.182 0.182 0.977
N1 0.160 0.160 0.645

***

A relaxed Dy4ZnCo crystal, computed with PBE.

Space-group type = F-43m (216)
Energy of formation = -234 meV/atom
Crystal system = cubic
N(E_F) = 0.57 states/eV/atom
E above lowest polymorph = 0.000 eV/atom

Unit cell a=9.337 b=9.337 c=9.337 alpha=60.00 beta=60.00 gamma=60.00
Element x y z (fractional)
Dy1 0.188 0.188 0.812
Dy2 0.188 0.812 0.188
Dy3 0.188 0.812 0.812
Dy4 0.400 0.400 0.400
Dy5 0.400 0.400 0.800
Dy6 0.400 0.800 0.400
Dy7 0.559 0.559 0.941
Dy8 0.559 0.941 0.559
Dy9 0.559 0.941 0.941
Dy10 0.800 0.400 0.400
Dy11 0.812 0.188 0.188
Dy12 0.812 0.188 0.812
Dy13 0.812 0.812 0.188
Dy14 0.941 0.559 0.559
Dy15 0.941 0.559 0.941
Dy16 0.941 0.941 0.559
Zn1 0.173 0.173 0.173
Zn2 0.173 0.173 0.482
Zn3 0.173 0.482 0.173
Zn4 0.482 0.173 0.173
Co1 0.175 0.608 0.608
Co2 0.608 0.175 0.608
Co3 0.608 0.608 0.175
Co4 0.608 0.608 0.608

***

A relaxed NaPdSe2 crystal, computed with PBE.

Space-group type = I-42d (122)
Crystal system = tetragonal
N(E_F) = 1.06 states/eV/atom
Energy relative to the elements, uncorrected = -437 meV/atom

Unit cell a=6.182 b=6.182 c=6.182 alpha=103.67 beta=103.67 gamma=121.83
Element x y z (fractional)
Na1 0.000 0.000 0.000
Na2 0.750 0.250 0.500
Pd1 0.250 0.750 0.500
Pd2 0.500 0.500 0.000
Se1 0.190 0.625 0.065
Se2 0.375 0.440 0.565
Se3 0.560 0.125 0.935
Se4 0.875 0.810 0.435

***

A relaxed LaReP2 crystal, computed with PBE.

Space-group type = I-42d (122)
Energy of formation = -435 meV/atom
Crystal system = tetragonal
N(E_F) = 0.47 states/eV/atom
E above lowest polymorph = 0.360 eV/atom

Unit cell a=7.955 b=7.955 c=7.955 alpha=142.14 beta=142.14 gamma=54.62
Element x y z (fractional)
La1 0.000 0.000 0.000
La2 0.750 0.250 0.500
Re1 0.250 0.750 0.500
Re2 0.500 0.500 0.000
P1 0.254 0.625 0.129
P2 0.375 0.504 0.629
P3 0.496 0.125 0.871
P4 0.875 0.746 0.371

***

A relaxed Rb3Ba2PaTe6 crystal, computed with PBE.

Space-group type = C2/m (12)
Crystal system = monoclinic
Energy relative to the elements, uncorrected = -1307 meV/atom

Unit cell a=8.515 b=8.515 c=8.939 alpha=99.28 beta=99.28 gamma=119.92
Element x y z (fractional)
Rb1 0.000 0.000 0.000
Rb2 0.327 0.673 0.000
Rb3 0.673 0.327 0.000
Ba1 0.166 0.834 0.500
Ba2 0.834 0.166 0.500
Pa1 0.500 0.500 0.500
Te1 0.137 0.431 0.292
Te2 0.279 0.279 0.708
Te3 0.431 0.137 0.292
Te4 0.569 0.863 0.708
Te5 0.721 0.721 0.292
Te6 0.863 0.569 0.708

***

A relaxed Mg3AgPd5 crystal, computed with PBE.

Space-group type = P6_3/mcm (193)
Energy of formation = -538 meV/atom
Crystal system = hexagonal
N(E_F) = 0.17 states/eV/atom

Unit cell a=7.826 b=7.826 c=5.493 alpha=90.00 beta=90.00 gamma=120.00
Element x y z (fractional)
Mg1 0.000 0.353 0.250
Mg2 0.000 0.647 0.750
Mg3 0.353 0.000 0.250
Mg4 0.353 0.353 0.750
Mg5 0.647 0.000 0.750
Mg6 0.647 0.647 0.250
Ag1 0.000 0.000 0.000
Ag2 0.000 0.000 0.500
Pd1 0.000 0.320 0.750
Pd2 0.000 0.680 0.250
Pd3 0.320 0.000 0.750
Pd4 0.320 0.320 0.250
Pd5 0.333 0.667 0.000
Pd6 0.333 0.667 0.500
Pd7 0.667 0.333 0.000
Pd8 0.667 0.333 0.500
Pd9 0.680 0.000 0.250
Pd10 0.680 0.680 0.750

***

A relaxed LiSbPt2 crystal, computed with PBE.

Space-group type = P4/mmm (123)
Crystal system = tetragonal
N(E_F) = 0.53 states/eV/atom
Energy relative to the elements, uncorrected = -526 meV/atom

Unit cell a=4.082 b=4.082 c=3.893 alpha=90.00 beta=90.00 gamma=90.00
Element x y z (fractional)
Li1 0.000 0.000 0.000
Sb1 0.500 0.500 0.000
Pt1 0.000 0.500 0.500
Pt2 0.500 0.000 0.500

***

A relaxed Tb3Pm2Pr6Dy crystal, computed with PBE.

Space-group type = C2/m (12)
Energy of formation = 11 meV/atom
Crystal system = monoclinic
N(E_F) = 1.27 states/eV/atom

Unit cell a=6.343 b=6.343 c=12.016 alpha=95.04 beta=95.04 gamma=120.02
Element x y z (fractional)
Tb1 0.000 0.000 0.000
Tb2 0.333 0.667 0.000
Tb3 0.667 0.333 0.000
Pm1 0.167 0.833 0.500
Pm2 0.833 0.167 0.500
Pr1 0.083 0.416 0.249
Pr2 0.251 0.251 0.752
Pr3 0.416 0.083 0.249
Pr4 0.584 0.917 0.751
Pr5 0.749 0.749 0.248
Pr6 0.917 0.584 0.751
Dy1 0.500 0.500 0.500

***

A relaxed YTmSc2 crystal, computed with PBE.

Space-group type = P4/mmm (123)
Energy of formation = 56 meV/atom
Crystal system = tetragonal
N(E_F) = 1.69 states/eV/atom
E above lowest polymorph = 0.011 eV/atom

Unit cell a=3.435 b=3.435 c=9.397 alpha=90.00 beta=90.00 gamma=90.00
Element x y z (fractional)
Y1 0.000 0.000 0.000
Tm1 0.000 0.000 0.500
Sc1 0.500 0.500 0.254
Sc2 0.500 0.500 0.746

***

| no. | V (Å³ per cell) | calculated total energy (eV/atom) |
| --- | --- | --- |
| 1 | 143.81 | -2.30 |
| 2 | 241.58 | -6.40 |
| 3 | 347.50 | -4.72 |
| 4 | 77.86 | -5.26 |
| 5 | 80.87 | -7.91 |
| 6 | 70.90 | -3.67 |
| 7 | 98.61 | -4.84 |
| 8 | 90.76 | -6.21 |
| 9 | 32.99 | -6.97 |
| 10 | 575.63 | -4.70 |
| 11 | 175.37 | -3.81 |
| 12 | 188.33 | -7.48 |
| 13 | 531.80 | -4.23 |
| 14 | 291.33 | -4.27 |
| 15 | 64.86 | -5.06 |
| 16 | 412.11 | -4.71 |
| 17 | 110.84 | -5.84 |